Record 1
VASP calculation (PBE) on Na5Hg24 after structural relaxation.

Unit cell a=10.041 b=10.041 c=10.041 alpha=109.47 beta=109.47 gamma=109.47
Fractional coordinates of all 29 atoms:
Hg 0.000 0.625 0.809
Hg 0.407 0.407 0.726
Hg 0.191 0.816 0.191
Hg 0.191 0.191 0.816
Hg 0.625 0.809 0.000
Hg 0.407 0.726 0.407
Hg 0.681 0.274 0.681
Hg 0.375 0.375 0.184
Hg 0.625 0.000 0.809
Hg 0.184 0.375 0.375
Hg 0.816 0.191 0.191
Hg 0.000 0.593 0.319
Hg 0.319 0.000 0.593
Hg 0.809 0.625 0.000
Hg 0.000 0.319 0.593
Hg 0.375 0.184 0.375
Hg 0.809 0.000 0.625
Hg 0.000 0.809 0.625
Hg 0.681 0.681 0.274
Hg 0.319 0.593 0.000
Hg 0.726 0.407 0.407
Hg 0.593 0.000 0.319
Hg 0.274 0.681 0.681
Hg 0.593 0.319 0.000
Na 0.382 0.000 0.000
Na 0.000 0.382 0.000
Na 0.618 0.618 0.618
Na 0.000 0.000 0.382
Na 0.000 0.000 0.000

Summary:
calculated density = 10.5 g/cm³
E = -0.581 eV/atom
space group = I-43m
calculated volume = 779.2 Å³ per cell
magnetic moment = 0.000 μB/f.u.
crystal system = cubic
formation energy from the elements = -104 meV per atom

Record 2
VASP calculation (PBE) on EuHgRh2 after structural relaxation.

Unit cell a=3.877 b=4.417 c=4.417 alpha=90.00 beta=90.00 gamma=90.00
Each line ends with the local moment (μB).
Fractional coordinates of all 4 atoms:
Hg 0.500 0.500 0.500  0.00
Rh 0.000 0.000 0.500  -0.32
Rh 0.000 0.500 0.000  -0.32
Eu 0.500 0.000 0.000  6.58

Summary:
calculated density = 12.3 g/cm³
E = -6.507 eV/atom
space group = P4/mmm
calculated volume = 75.6 Å³ per cell
magnetic moment = 6.071 μB/f.u.
crystal system = tetragonal
formation energy from the elements = -188 meV per atom